Record 1
{"formula": "MoAs", "functional": "PBE-GGA", "state": "relaxed", "ef_mev_per_atom": -149, "lattice_angstrom": [[3.2922, 0.0000, 0.0000], [0.0000, 3.2922, 0.0000], [0.0000, 0.0000, 5.8585]], "species": ["Mo", "Mo", "As", "As"], "fractional_positions": [[0.2500, 0.2500, 0.1607], [0.7500, 0.7500, 0.8393], [0.2500, 0.2500, 0.6543], [0.7500, 0.7500, 0.3457]]}

Record 2
{"formula": "TbPmMg", "functional": "PBE-GGA", "state": "relaxed", "relative_energy_kj_per_mol_atoms": 5.1, "ef_mev_per_atom": 3, "lattice_angstrom": [[3.4498, 0.0000, 0.0000], [0.0000, 5.4533, 0.0000], [-0.0062, 0.0000, 9.6608]], "species": ["Tb", "Tb", "Pm", "Pm", "Mg", "Mg"], "fractional_positions": [[0.0034, 0.0000, 0.0852], [0.9966, 0.5000, 0.9148], [0.4989, 0.0000, 0.7448], [0.5011, 0.5000, 0.2552], [0.0018, 0.5011, 0.5798], [0.9982, 0.0011, 0.4202]]}